[1]
# TlPtN2F | Alexandria via LeMat-Bulk | PBE-GGA | optimized geometry
# ΔE to the lowest computed polymorph, eV/atom: 1.3984
# Formation energy without anion corrections, eV/atom: 1.750
data_TlPtN2F
_cell_length_a 4.335
_cell_length_b 4.335
_cell_length_c 4.252
_cell_angle_alpha 90.00
_cell_angle_beta 90.00
_cell_angle_gamma 90.00
_symmetry_space_group_name_H-M 'P 4/m m m'
_symmetry_Int_Tables_number 123
_symmetry_space_group_name_Hall '-P 4 2'
loop_
_atom_site_label
_atom_site_fract_x
_atom_site_fract_y
_atom_site_fract_z
Tl1 0.000 0.000 0.000
Pt1 0.500 0.500 0.500
N1 0.000 0.500 0.000
F1 0.000 0.000 0.500

---

[2]
# Cd2TeN | Alexandria via LeMat-Bulk | PBE-GGA | optimized geometry
# ΔE to the lowest computed polymorph, eV/atom: 0.0000
# Formation energy without anion corrections, eV/atom: 0.325
data_Cd2TeN
_cell_length_a 6.030
_cell_length_b 6.030
_cell_length_c 10.770
_cell_angle_alpha 90.00
_cell_angle_beta 90.00
_cell_angle_gamma 90.00
_symmetry_space_group_name_H-M 'I -4 2 d'
_symmetry_Int_Tables_number 122
_symmetry_space_group_name_Hall 'I -4 2bw'
loop_
_atom_site_label
_atom_site_fract_x
_atom_site_fract_y
_atom_site_fract_z
Cd1 0.139 0.250 0.125
Te1 0.000 0.000 0.500
N1 0.000 0.000 0.000